[1]
Here is a relaxed structure of TaSn2SbOs from Alexandria. Energies are from PBE.

The total energy comes out at -5.9259 eV/atom. Its uncorrected formation energy is 1.116 eV/atom.

The structure belongs to space group P4/mmm (No. 123); the cell edges are 5.3112, 5.3112 and 4.8616 Å and the angles 90.00°, 90.00° and 90.00°. Symmetry generates all atoms from Ta at (0.0000, 0.0000, 0.0000), Sn at (0.0000, 0.5000, 0.0000), Sb at (0.5000, 0.5000, 0.5000) and Os at (0.0000, 0.0000, 0.5000).

=====

[2]
Here is a relaxed structure of Ti2SnSbOs from Alexandria. Energies are from PBE.

The total energy comes out at -5.7900 eV/atom. Its uncorrected formation energy is 1.239 eV/atom.

The structure belongs to space group P4/mmm (No. 123); the cell edges are 4.9992, 4.9992 and 4.8748 Å and the angles 90.00°, 90.00° and 90.00°. Symmetry generates all atoms from Ti at (0.0000, 0.5000, 0.0000), Sn at (0.0000, 0.0000, 0.0000), Sb at (0.5000, 0.5000, 0.5000) and Os at (0.0000, 0.0000, 0.5000).